Record 1
# NbCdBi2

A geometry-optimized NbCdBi2 structure (GGA-PBE, Alexandria).

The total magnetization comes out at 0.0 μB per formula unit. As for the formation energy: 548 meV per atom.

It has space group R-3m (No. 166, hexagonal axes), with a = 3.2031 Å, b = 3.2031 Å, c = 36.9710 Å, α = 90.00°, β = 90.00° and γ = 120.00°. Symmetry generates all atoms from Nb at (0.0000, 0.0000, 0.0000), Cd at (0.0000, 0.0000, 0.5000) and Bi at (0.0000, 0.0000, 0.0801).

Record 2
# KNb2SnH

A geometry-optimized KNb2SnH structure (GGA-PBE, Alexandria).

The value obtained for the total DFT energy (no corrections) is -3.99 eV per atom. The total magnetization comes out at 6.0 μB per formula unit.

It has space group P4/mmm (No. 123), with a = 5.371 Å, b = 5.371 Å, c = 6.698 Å, α = 90.00°, β = 90.00° and γ = 90.00°. Symmetry generates all atoms from K at (0.000, 0.000, 0.000), Nb at (0.000, 0.500, 0.500), Sn at (0.000, 0.000, 0.500) and H at (0.500, 0.500, 0.000).

Record 3
# ErPdAu

A geometry-optimized ErPdAu structure (GGA-PBE, Alexandria).

The total magnetization comes out at 0.0 μB per formula unit. As for the formation energy: -715 meV per atom. The distance to the lowest polymorph of the same formula is 159.1 meV per atom.

It has space group F-43m (No. 216), with a = 6.493 Å, b = 6.493 Å, c = 6.493 Å, α = 90.00°, β = 90.00° and γ = 90.00°. Symmetry generates all atoms from Er at (0.000, 0.000, 0.000), Pd at (0.250, 0.250, 0.750) and Au at (0.000, 0.000, 0.500).

Record 4
# Pm7Pt2N2

A geometry-optimized Pm7Pt2N2 structure (GGA-PBE, Alexandria).

The total magnetization comes out at 0.0 μB per formula unit. The value obtained for the formation energy (no corrections) is -709 meV per atom.

It has space group C2/m (No. 12), with a = 12.123 Å, b = 7.207 Å, c = 6.257 Å, α = 90.00°, β = 91.42° and γ = 90.00°. Symmetry generates all atoms from Pm at (0.000, 0.000, 0.000), Pm at (0.072, 0.500, 0.241), Pm at (0.201, 0.265, 0.756), Pt at (0.000, 0.188, 0.500) and N at (0.232, 0.000, 0.965).